Entry 1:
A geometry-optimized Sr2AlHg structure. Source: Alexandria via LeMat-Bulk, functional PBE.

Results
As for the energy of formation: -97 meV per atom. As for the relative energy among the computed polymorphs: 0.2133 eV per atom. Its total DFT energy (no corrections) is -1.95 eV/atom. As for the density of states at the Fermi level: 4.041 states/eV/f.u.

Lattice parameters (Å, degrees): 4.1517 4.1517 28.8172 90.00 90.00 120.00
Closest atoms and distances in Å follow each position.
Space group R-3m (No. 166, hexagonal axes)
Unique sites:
Sr (0.0000, 0.0000, 0.2502) (multiplicity 6)  3 Hg 3.39, 3 Al 3.40
Al (0.0000, 0.0000, 0.5000) (multiplicity 3)  6 Sr 3.40
Hg (0.0000, 0.0000, 0.0000) (multiplicity 3)  6 Sr 3.39

Entry 2:
A geometry-optimized SrAlHg6 structure. Source: Alexandria via LeMat-Bulk, functional PBE.

Results
As for the energy of formation: 57 meV per atom. Its total DFT energy (no corrections) is -0.85 eV/atom. As for the density of states at the Fermi level: 4.045 states/eV/f.u.

Lattice parameters (Å, degrees): 6.1310 6.1310 25.7156 90.00 90.00 120.00
Closest atoms and distances in Å follow each position.
Space group R-3m (No. 166, hexagonal axes)
Unique sites:
Sr (0.0000, 0.0000, 0.0000) (multiplicity 3)  6 Hg 3.29
Al (0.0000, 0.0000, 0.5000) (multiplicity 3)  12 Hg 3.42
Hg (0.0050, 0.5025, 0.4407) (multiplicity 18)  5 Hg 3.02-3.11, 1 Sr 3.29

Entry 3:
A geometry-optimized SrTbAlHg structure. Source: Alexandria via LeMat-Bulk, functional PBE.

Results
As for the energy of formation: -302 meV per atom. Its total DFT energy (no corrections) is -2.89 eV/atom. As for the density of states at the Fermi level: 2.845 states/eV/f.u.

Lattice parameters (Å, degrees): 7.6628 7.6628 7.6628 90.00 90.00 90.00
Closest atoms and distances in Å follow each position.
Space group F-43m (No. 216)
Unique sites:
Sr (0.0000, 0.0000, 0.0000) (multiplicity 4)  4 Hg 3.32, 4 Al 3.32
Tb (0.0000, 0.0000, 0.5000) (multiplicity 4)  4 Hg 3.32, 4 Al 3.32
Al (0.2500, 0.2500, 0.2500) (multiplicity 4)  4 Tb 3.32, 4 Sr 3.32
Hg (0.2500, 0.2500, 0.7500) (multiplicity 4)  4 Tb 3.32, 4 Sr 3.32

Entry 4:
A geometry-optimized Sr2AlHgTe structure. Source: Alexandria via LeMat-Bulk, functional PBE.

Results
Its total DFT energy (no corrections) is -2.51 eV/atom. Its energy relative to the elements, uncorrected is -0.40 eV per atom. As for the density of states at the Fermi level: 2.470 states/eV/f.u.

Lattice parameters (Å, degrees): 6.1622 6.1622 4.8835 90.00 90.00 90.00
Closest atoms and distances in Å follow each position.
Space group P4/mmm (No. 123)
Unique sites:
Sr (0.0000, 0.5000, 0.0000) (multiplicity 2)  2 Al 3.08
Al (0.0000, 0.0000, 0.0000) (multiplicity 1)  2 Hg 2.44
Hg (0.0000, 0.0000, 0.5000) (multiplicity 1)  2 Al 2.44
Te (0.5000, 0.5000, 0.5000) (multiplicity 1)  8 Sr 3.93, 4 Hg 4.36

Entry 5:
A geometry-optimized SrAlTlHg structure. Source: Alexandria via LeMat-Bulk, functional PBE.

Results
As for the energy of formation: -193 meV per atom. Its total DFT energy (no corrections) is -2.22 eV/atom. As for the density of states at the Fermi level: 1.260 states/eV/f.u.

Lattice parameters (Å, degrees): 7.5321 7.5321 7.5321 90.00 90.00 90.00
Closest atoms and distances in Å follow each position.
Space group F-43m (No. 216)
Unique sites:
Sr (0.0000, 0.0000, 0.0000) (multiplicity 4)  4 Hg 3.26, 4 Tl 3.26
Al (0.0000, 0.0000, 0.5000) (multiplicity 4)  4 Tl 3.26, 4 Hg 3.26
Tl (0.2500, 0.2500, 0.2500) (multiplicity 4)  4 Al 3.26, 4 Sr 3.26
Hg (0.2500, 0.2500, 0.7500) (multiplicity 4)  4 Al 3.26, 4 Sr 3.26

Entry 6:
A geometry-optimized SrAlV2Hg structure. Source: Alexandria via LeMat-Bulk, functional PBE.

Results
As for the energy of formation: 1982 meV per atom. Its total DFT energy (no corrections) is -2.81 eV/atom. As for the density of states at the Fermi level: 8.582 states/eV/f.u.

Lattice parameters (Å, degrees): 5.6182 5.6182 5.8090 90.00 90.00 90.00
Closest atoms and distances in Å follow each position.
Space group P4/mmm (No. 123)
Unique sites:
Sr (0.0000, 0.0000, 0.0000) (multiplicity 1)  4 V 2.81, 2 Hg 2.90
Al (0.5000, 0.5000, 0.5000) (multiplicity 1)  4 Hg 3.97, 8 V 4.04
V (0.0000, 0.5000, 0.0000) (multiplicity 2)  2 Sr 2.81
Hg (0.0000, 0.0000, 0.5000) (multiplicity 1)  2 Sr 2.90

Entry 7:
A geometry-optimized SrYAlHg2 structure. Source: Alexandria via LeMat-Bulk, functional PBE.

Results
As for the energy of formation: 940 meV per atom. Its total DFT energy (no corrections) is -1.56 eV/atom. As for the density of states at the Fermi level: 6.239 states/eV/f.u.

Lattice parameters (Å, degrees): 5.7472 5.7472 6.5024 90.00 90.00 90.00
Closest atoms and distances in Å follow each position.
Space group P4/mmm (No. 123)
Unique sites:
Sr (0.0000, 0.0000, 0.0000) (multiplicity 1)  4 Hg 2.87
Y (0.0000, 0.0000, 0.5000) (multiplicity 1)  2 Sr 3.25
Al (0.5000, 0.5000, 0.5000) (multiplicity 1)  4 Y 4.06, 8 Hg 4.34
Hg (0.0000, 0.5000, 0.0000) (multiplicity 2)  2 Sr 2.87

Entry 8:
A geometry-optimized Sr2Al4Zn3Hg structure. Source: Alexandria via LeMat-Bulk, functional PBE.

Results
As for the energy of formation: -248 meV per atom. Its total DFT energy (no corrections) is -2.49 eV/atom. As for the density of states at the Fermi level: 5.401 states/eV/f.u.

Lattice parameters (Å, degrees): 4.4251 4.4251 11.1473 90.00 90.00 90.00
Closest atoms and distances in Å follow each position.
Space group P-4m2 (No. 115)
Unique sites:
Sr (0.0000, 0.5000, 0.2468) (multiplicity 2)  6 Zn 3.38-3.59, 8 Al 3.39-3.53, 2 Hg 3.59
Al (0.0000, 0.0000, 0.0000) (multiplicity 1)  4 Zn 2.65
Al (0.0000, 0.5000, 0.6371) (multiplicity 2)  3 Zn 2.58-2.69, 2 Hg 2.69
Al (0.5000, 0.5000, 0.0000) (multiplicity 1)  4 Zn 2.65
Zn (0.0000, 0.5000, 0.8684) (multiplicity 2)  5 Al 2.58-2.65
Zn (0.5000, 0.5000, 0.5000) (multiplicity 1)  4 Al 2.69
Hg (0.0000, 0.0000, 0.5000) (multiplicity 1)  4 Al 2.69

Entry 9:
A geometry-optimized Sr2Al4ZnHg3 structure. Source: Alexandria via LeMat-Bulk, functional PBE.

Results
As for the energy of formation: -268 meV per atom. Its total DFT energy (no corrections) is -2.32 eV/atom. As for the density of states at the Fermi level: 4.904 states/eV/f.u.

Lattice parameters (Å, degrees): 4.5193 4.5193 11.4284 90.00 90.00 90.00
Closest atoms and distances in Å follow each position.
Space group P-4m2 (No. 115)
Unique sites:
Sr (0.0000, 0.5000, 0.2444) (multiplicity 2)  6 Hg 3.46-3.59, 8 Al 3.46-3.69, 2 Zn 3.59
Al (0.0000, 0.0000, 0.5000) (multiplicity 1)  4 Hg 2.76
Al (0.0000, 0.5000, 0.8722) (multiplicity 2)  3 Hg 2.66-2.69, 2 Zn 2.69
Al (0.5000, 0.5000, 0.5000) (multiplicity 1)  4 Hg 2.76
Zn (0.5000, 0.5000, 0.0000) (multiplicity 1)  4 Al 2.69
Hg (0.0000, 0.0000, 0.0000) (multiplicity 1)  4 Al 2.69
Hg (0.0000, 0.5000, 0.6393) (multiplicity 2)  5 Al 2.66-2.76

Entry 10:
A geometry-optimized Sr2AlZn4Hg3 structure. Source: Alexandria via LeMat-Bulk, functional PBE.

Results
As for the energy of formation: -268 meV per atom. Its total DFT energy (no corrections) is -1.58 eV/atom. As for the density of states at the Fermi level: 4.030 states/eV/f.u.

Lattice parameters (Å, degrees): 4.4263 4.4263 11.8771 90.00 90.00 90.00
Closest atoms and distances in Å follow each position.
Space group P-4m2 (No. 115)
Unique sites:
Sr (0.0000, 0.5000, 0.2449) (multiplicity 2)  8 Zn 3.41-3.75, 6 Hg 3.41-3.65, 2 Al 3.65
Al (0.5000, 0.5000, 0.0000) (multiplicity 1)  4 Zn 2.71
Zn (0.0000, 0.0000, 0.5000) (multiplicity 1)  4 Hg 2.77
Zn (0.0000, 0.5000, 0.8685) (multiplicity 2)  3 Hg 2.71, 2 Al 2.71
Zn (0.5000, 0.5000, 0.5000) (multiplicity 1)  4 Hg 2.77
Hg (0.0000, 0.0000, 0.0000) (multiplicity 1)  4 Zn 2.71
Hg (0.0000, 0.5000, 0.6407) (multiplicity 2)  5 Zn 2.71-2.77

Entry 11:
A geometry-optimized TaAl2Hg structure. Source: Alexandria via LeMat-Bulk, functional PBE.

Results
As for the energy of formation: 100 meV per atom. Its total DFT energy (no corrections) is -4.81 eV/atom. As for the density of states at the Fermi level: 2.816 states/eV/f.u.

Lattice parameters (Å, degrees): 4.0274 4.0274 8.8355 90.00 90.00 90.00
Closest atoms and distances in Å follow each position.
Space group I4/mmm (No. 139)
Unique sites:
Ta (0.0000, 0.0000, 0.0000) (multiplicity 2)  4 Hg 2.85, 8 Al 2.99
Al (0.0000, 0.5000, 0.2500) (multiplicity 4)  4 Al 2.85, 4 Hg 2.99, 4 Ta 2.99
Hg (0.0000, 0.0000, 0.5000) (multiplicity 2)  4 Ta 2.85, 8 Al 2.99

Entry 12:
A geometry-optimized TaAl2Hg structure. Source: Alexandria via LeMat-Bulk, functional PBE.

Results
As for the energy of formation: 14 meV per atom. Its total DFT energy (no corrections) is -4.90 eV/atom. As for the density of states at the Fermi level: 1.631 states/eV/f.u.

Lattice parameters (Å, degrees): 3.8826 3.8826 9.2295 90.00 90.00 90.00
Closest atoms and distances in Å follow each position.
Space group I-4m2 (No. 119)
Unique sites:
Ta (0.0000, 0.0000, 0.0000) (multiplicity 2)  8 Al 2.75-3.02, 4 Hg 3.02
Al (0.0000, 0.0000, 0.5000) (multiplicity 2)  4 Ta 2.75, 4 Hg 3.02, 4 Al 3.02
Al (0.0000, 0.5000, 0.7500) (multiplicity 2)  4 Hg 2.75, 4 Ta 3.02, 4 Al 3.02
Hg (0.0000, 0.5000, 0.2500) (multiplicity 2)  8 Al 2.75-3.02, 4 Ta 3.02

Entry 13:
A geometry-optimized TaAl2Hg structure. Source: Alexandria via LeMat-Bulk, functional PBE.

Results
As for the energy of formation: 11 meV per atom. Its total DFT energy (no corrections) is -4.90 eV/atom. As for the density of states at the Fermi level: 1.514 states/eV/f.u.

Lattice parameters (Å, degrees): 10.5284 2.9763 5.0016 90.00 114.16 90.00
Closest atoms and distances in Å follow each position.
Space group Cm (No. 8)
Unique sites:
Ta (0.0000, 0.0000, 0.0000) (multiplicity 2)  7 Al 2.83-2.99, 2 Ta 2.98, 3 Hg 3.00-3.02
Al (0.0065, 0.5000, 0.5244) (multiplicity 2)  3 Hg 2.81-2.94, 4 Ta 2.83-2.99, 5 Al 2.98-3.04
Al (0.2574, 0.0000, 0.9342) (multiplicity 2)  3 Ta 2.86, 4 Hg 2.90-2.92, 5 Al 2.98-3.04
Hg (0.2506, 0.5000, 0.4251) (multiplicity 2)  7 Al 2.81-2.94, 2 Hg 2.98, 3 Ta 3.00-3.02

Entry 14:
A geometry-optimized TaAl2Hg structure. Source: Alexandria via LeMat-Bulk, functional PBE.

Results
As for the energy of formation: 476 meV per atom. Its total DFT energy (no corrections) is -4.43 eV/atom. As for the density of states at the Fermi level: 2.821 states/eV/f.u.

Lattice parameters (Å, degrees): 7.3050 7.3050 5.7819 90.00 90.00 90.00
Closest atoms and distances in Å follow each position.
Space group I-42d (No. 122)
Unique sites:
Ta (0.0000, 0.0000, 0.0000) (multiplicity 4)  4 Al 2.74, 2 Hg 2.89
Al (0.2378, 0.2500, 0.6250) (multiplicity 8)  2 Hg 2.62, 2 Ta 2.74, 2 Al 2.90
Hg (0.0000, 0.0000, 0.5000) (multiplicity 4)  4 Al 2.62, 2 Ta 2.89